CoH18CN6ClO3 | PBE with a Hubbard U | relaxed

```
CoH18CN6ClO3
1.0
10.0407 0.0000 0.0000
0.0000 10.0407 0.0000
0.0000 0.0000 10.0407
Co H C N Cl O
4 72 4 24 4 12
direct
0.0126 0.4874 0.5126
0.4874 0.5126 0.0126
0.5126 0.0126 0.4874
0.9874 0.9874 0.9874
0.0272 0.7141 0.4024
0.0432 0.3859 0.2841
0.0509 0.5517 0.2715
0.0517 0.2285 0.9491
0.0529 0.7525 0.0552
0.0552 0.0529 0.7525
0.0572 0.4268 0.7597
0.0732 0.2403 0.5572
0.0794 0.7758 0.8933
0.0976 0.9728 0.2141
0.1067 0.5794 0.7242
0.1141 0.7159 0.5432
0.2141 0.0976 0.9728
0.2159 0.9568 0.8859
0.2242 0.3933 0.4206
0.2285 0.9491 0.0517
0.2403 0.5572 0.0732
0.2475 0.5552 0.4471
0.2525 0.4448 0.9471
0.2597 0.4428 0.5732
0.2715 0.0509 0.5517
0.2758 0.6067 0.9206
0.2841 0.0432 0.3859
0.2859 0.9024 0.4728
0.3859 0.2841 0.0432
0.3933 0.4206 0.2242
0.4024 0.0272 0.7141
0.4206 0.2242 0.3933
0.4268 0.7597 0.0572
0.4428 0.5732 0.2597
0.4448 0.9471 0.2525
0.4471 0.2475 0.5552
0.4483 0.7715 0.4491
0.4491 0.4483 0.7715
0.4568 0.6141 0.7841
0.4728 0.2859 0.9024
0.5272 0.7859 0.5976
0.5432 0.1141 0.7159
0.5509 0.9483 0.7285
0.5517 0.2715 0.0509
0.5529 0.7475 0.9448
0.5552 0.4471 0.2475
0.5572 0.0732 0.2403
0.5732 0.2597 0.4428
0.5794 0.7242 0.1067
0.5976 0.5272 0.7859
0.6067 0.9206 0.2758
0.6141 0.7841 0.4568
0.7141 0.4024 0.0272
0.7159 0.5432 0.1141
0.7242 0.1067 0.5794
0.7285 0.5509 0.9483
0.7403 0.9428 0.9268
0.7475 0.9448 0.5529
0.7525 0.0552 0.0529
0.7597 0.0572 0.4268
0.7715 0.4491 0.4483
0.7758 0.8933 0.0794
0.7841 0.4568 0.6141
0.7859 0.5976 0.5272
0.8859 0.2159 0.9568
0.8933 0.0794 0.7758
0.9024 0.4728 0.2859
0.9206 0.2758 0.6067
0.9268 0.7403 0.9428
0.9428 0.9268 0.7403
0.9448 0.5529 0.7475
0.9471 0.2525 0.4448
0.9483 0.7285 0.5509
0.9491 0.0517 0.2285
0.9568 0.8859 0.2159
0.9728 0.2141 0.0976
0.2496 0.2504 0.7496
0.2504 0.7496 0.2496
0.7496 0.2496 0.2504
0.7504 0.7504 0.7504
0.9998 0.4729 0.3162
0.0002 0.9729 0.1838
0.0114 0.7924 0.9686
0.0271 0.6838 0.4998
0.0314 0.5114 0.7076
0.1838 0.0002 0.9729
0.2076 0.4686 0.4886
0.2924 0.5314 0.9886
0.3162 0.9998 0.4729
0.4686 0.4886 0.2076
0.4729 0.3162 0.9998
0.4886 0.2076 0.4686
0.4998 0.0271 0.6838
0.5002 0.5271 0.8162
0.5114 0.7076 0.0314
0.5271 0.8162 0.5002
0.5314 0.9886 0.2924
0.6838 0.4998 0.0271
0.7076 0.0314 0.5114
0.7924 0.9686 0.0114
0.8162 0.5002 0.5271
0.9686 0.0114 0.7924
0.9729 0.1838 0.0002
0.9886 0.2924 0.5314
0.2414 0.2414 0.2414
0.2586 0.7586 0.7414
0.7414 0.2586 0.7586
0.7586 0.7414 0.2586
0.1447 0.6897 0.2033
0.1897 0.2967 0.8553
0.2033 0.1447 0.6897
0.2967 0.8553 0.1897
0.3103 0.7033 0.3553
0.3553 0.3103 0.7033
0.6447 0.8103 0.7967
0.6897 0.2033 0.1447
0.7033 0.3553 0.3103
0.7967 0.6447 0.8103
0.8103 0.7967 0.6447
0.8553 0.1897 0.2967
```

Summary:
Space-group type: P2_13
Calculated density (g/cm³): 1.68
Total DFT energy (no corrections) (eV per cell): -637.84